# 1
Material: OsPdPbO6
Method: DFT, PBE-GGA
State: optimized geometry

Properties
Total magnetization, μB/f.u.: 0.00
DOS at the Fermi energy, states/eV/f.u.: 1.416
Space group: No. 74
Energy relative to the elements, uncorrected, meV per atom: -742

POSCAR file:
```
OsPdPbO6
1.0
-3.429 3.660 5.044
3.429 -3.660 5.044
3.429 3.660 -5.044
Os Pd Pb O
2 2 2 12
direct
0.000 0.000 0.000 Os
0.500 0.000 0.500 Os
0.500 0.000 0.000 Pd
0.500 0.500 0.500 Pd
0.164 0.414 0.750 Pb
0.836 0.586 0.250 Pb
0.155 0.329 0.224 O
0.155 0.931 0.826 O
0.219 0.969 0.250 O
0.393 0.643 0.750 O
0.395 0.069 0.724 O
0.395 0.671 0.326 O
0.605 0.329 0.674 O
0.605 0.931 0.276 O
0.607 0.357 0.250 O
0.781 0.031 0.750 O
0.845 0.069 0.174 O
0.845 0.671 0.776 O
```


# 2
Material: PmOsPb2O8
Method: DFT, PBE-GGA
State: optimized geometry

Properties
Total magnetization, μB/f.u.: 0.00
DOS at the Fermi energy, states/eV/f.u.: 4.082
Space group: No. 10
Energy relative to the elements, uncorrected, meV per atom: -1411

POSCAR file:
```
PmOsPb2O8
1.0
5.176 0.000 0.000
0.000 6.842 0.000
-0.090 0.000 5.186
Pm Os Pb O
1 1 2 8
direct
0.000 0.000 0.000 Pm
0.000 0.500 0.000 Os
0.500 0.254 0.500 Pb
0.500 0.746 0.500 Pb
0.173 0.291 0.189 O
0.173 0.709 0.189 O
0.263 0.500 0.760 O
0.319 0.000 0.694 O
0.681 0.000 0.306 O
0.737 0.500 0.240 O
0.827 0.291 0.811 O
0.827 0.709 0.811 O
```


# 3
Material: PmOs2PbO8
Method: DFT, PBE-GGA
State: optimized geometry

Properties
Total magnetization, μB/f.u.: 3.03
DOS at the Fermi energy, states/eV/f.u.: 5.161
Space group: No. 164
Energy relative to the elements, uncorrected, meV per atom: -1285

POSCAR file:
```
PmOs2PbO8
1.0
6.061 0.000 0.000
-3.030 5.249 0.000
0.000 0.000 7.236
Pm Os Pb O
1 2 1 8
direct
0.000 0.000 0.000 Pm
0.333 0.667 0.290 Os
0.667 0.333 0.710 Os
0.000 0.000 0.500 Pb
0.165 0.331 0.216 O
0.165 0.835 0.216 O
0.331 0.165 0.784 O
0.333 0.667 0.537 O
0.667 0.333 0.463 O
0.669 0.835 0.216 O
0.835 0.165 0.784 O
0.835 0.669 0.784 O
```


Please write out number 3 again, unchanged.
Material: PmOs2PbO8
Method: DFT, PBE-GGA
State: optimized geometry

Properties
Total magnetization, μB/f.u.: 3.03
DOS at the Fermi energy, states/eV/f.u.: 5.161
Space group: No. 164
Energy relative to the elements, uncorrected, meV per atom: -1285

POSCAR file:
```
PmOs2PbO8
1.0
6.061 0.000 0.000
-3.030 5.249 0.000
0.000 0.000 7.236
Pm Os Pb O
1 2 1 8
direct
0.000 0.000 0.000 Pm
0.333 0.667 0.290 Os
0.667 0.333 0.710 Os
0.000 0.000 0.500 Pb
0.165 0.331 0.216 O
0.165 0.835 0.216 O
0.331 0.165 0.784 O
0.333 0.667 0.537 O
0.667 0.333 0.463 O
0.669 0.835 0.216 O
0.835 0.165 0.784 O
0.835 0.669 0.784 O
```